(1)
Material: CaZr2Tl
Method: DFT, PBE
State: relaxed

The structure belongs to space group F-43m (No. 216); the cell edges are 7.4130, 7.4130 and 7.4130 Å and the angles 90.00°, 90.00° and 90.00°. The asymmetric unit holds Ca at (0.0000, 0.0000, 0.0000), Zr at (0.0000, 0.0000, 0.5000), Zr at (0.2500, 0.2500, 0.7500) and Tl at (0.2500, 0.2500, 0.2500).

The value obtained for the density of states at the Fermi level is 9.72 states/eV/cell. For the volume, the calculation gives 25.46 Å³/atom.

=====

(2)
Material: CaZr2Tl
Method: DFT, PBE
State: relaxed

The structure belongs to space group Pmm2 (No. 25); the cell edges are 3.3808, 4.0863 and 7.5623 Å and the angles 90.00°, 90.00° and 90.00°. The asymmetric unit holds Ca at (0.0000, 0.0000, 0.0000), Zr at (0.0000, 0.0000, 0.5080), Zr at (0.5000, 0.5000, 0.3041) and Tl at (0.5000, 0.5000, 0.7373).

The value obtained for the density of states at the Fermi level is 2.90 states/eV/cell. For the volume, the calculation gives 26.12 Å³/atom.

=====

Tell me which of them is the least stable. Sure, it is (1).

=====

(1)
Material: TbSnHgPb
Method: DFT, PBE
State: relaxed

The structure belongs to space group Pmmm (No. 47); the cell edges are 4.5638, 4.7833 and 4.7860 Å and the angles 90.00°, 90.00° and 90.00°. The asymmetric unit holds Tb at (0.0000, 0.0000, 0.0000), Sn at (0.5000, 0.0000, 0.5000), Hg at (0.0000, 0.5000, 0.5000) and Pb at (0.5000, 0.5000, 0.0000).

The value obtained for the density of states at the Fermi level is 1.47 states/eV/cell. For the volume, the calculation gives 26.12 Å³/atom.

=====

(2)
Material: TbSnHgPb
Method: DFT, PBE
State: relaxed

The structure belongs to space group F-43m (No. 216); the cell edges are 7.6404, 7.6404 and 7.6404 Å and the angles 90.00°, 90.00° and 90.00°. The asymmetric unit holds Tb at (0.0000, 0.0000, 0.0000), Sn at (0.2500, 0.2500, 0.2500), Hg at (0.2500, 0.2500, 0.7500) and Pb at (0.0000, 0.0000, 0.5000).

The value obtained for the density of states at the Fermi level is 8.97 states/eV/cell. For the volume, the calculation gives 27.88 Å³/atom.

=====

Tell me which of them is the least stable. Sure, it is (2).

=====

(1)
Material: Tl2CdTc
Method: DFT, PBE
State: relaxed

The structure belongs to space group R-3m (No. 166, hexagonal axes); the cell edges are 3.2515, 3.2515 and 29.0056 Å and the angles 90.00°, 90.00° and 120.00°. The asymmetric unit holds Tl at (0.0000, 0.0000, 0.2428), Cd at (0.0000, 0.0000, 0.0000) and Tc at (0.0000, 0.0000, 0.5000).

The value obtained for the density of states at the Fermi level is 8.48 states/eV/cell. For the volume, the calculation gives 22.13 Å³/atom.

=====

(2)
Material: Tl2CdTc
Method: DFT, PBE
State: relaxed

The structure belongs to space group P4/mmm (No. 123); the cell edges are 3.1288, 3.1288 and 9.4561 Å and the angles 90.00°, 90.00° and 90.00°. The asymmetric unit holds Tl at (0.0000, 0.0000, 0.2120), Cd at (0.5000, 0.5000, 0.5000) and Tc at (0.5000, 0.5000, 0.0000).

The value obtained for the density of states at the Fermi level is 2.89 states/eV/cell. For the volume, the calculation gives 23.14 Å³/atom.

=====

Tell me which of them is the least stable. Sure, it is (2).